# 1
Entry from the Alexandria database: a geometry-optimized BaLi2Ag structure (GGA-PBE).

```
BaLi2Ag
1.0
-4.2330 3.7605 1.8097
-1.4606 -0.8912 5.6928
5.1850 0.7444 -2.8102
Ag Li Ba
1 2 1
direct
0.2500 0.7500 0.5000
0.5000 0.5000 0.0000
0.0000 0.0000 0.0000
0.7500 0.2500 0.5000
```

Summary:
- formation enthalpy at 0 K (eV/atom) = 0.004
- symmetry = I4/mmm, No. 139
- DOS at the Fermi energy (states/eV/cell) = 2.1

***

# 2
Entry from the Alexandria database: a geometry-optimized Nd6HC2Se3 structure (GGA-PBE).

```
Nd6HC2Se3
1.0
-2.3800 -3.1544 0.2086
5.2357 -4.2590 -4.6683
3.7873 0.1662 8.1941
Nd Se C H
6 3 2 1
direct
0.3237 0.4387 0.6473
0.6763 0.5613 0.3527
0.3341 0.8816 0.6682
0.0156 0.2543 0.0313
0.9844 0.7457 0.9687
0.6659 0.1184 0.3318
0.5000 0.5000 0.0000
0.8368 0.1659 0.6735
0.1632 0.8341 0.3265
0.1645 0.3301 0.3290
0.8355 0.6699 0.6710
0.5000 0.0000 0.0000
```

Summary:
- E (eV/atom) = -6.112
- symmetry = C2/m, No. 12
- DOS at the Fermi energy (states/eV/cell) = 3.3

***

# 3
Entry from the Alexandria database: a geometry-optimized PrNdMg6 structure (GGA-PBE).

```
PrNdMg6
1.0
-1.6284 0.2728 -4.9666
2.3638 -6.3179 -1.1221
-6.4247 0.9139 2.1567
Mg Pr Nd
6 1 1
direct
0.5000 0.9120 0.0880
0.0000 0.5884 0.4116
0.5000 0.4257 0.0879
0.0000 0.5884 0.9269
0.5000 0.9121 0.5743
0.0000 0.0731 0.4116
0.5000 0.4167 0.5833
0.0000 0.0833 0.9167
```

Summary:
- formation enthalpy at 0 K (eV/atom) = -0.103
- symmetry = P-6m2, No. 187
- DOS at the Fermi energy (states/eV/cell) = 8.5

***

# 4
Entry from the Alexandria database: a geometry-optimized MnSi2Au structure (GGA-PBE).

```
MnSi2Au
1.0
-0.3282 -2.6281 3.2328
2.2957 -1.2552 3.2588
-1.7027 3.1891 3.4350
Si Mn Au
2 1 1
direct
0.9839 0.9839 0.0592
0.5161 0.5161 0.4408
0.2500 0.2500 0.2500
0.7500 0.7500 0.7500
```

Summary:
- symmetry = C2/m, No. 12
- DOS at the Fermi energy (states/eV/cell) = 2.0
- formation energy (no corrections) (eV per atom) = 0.01

***

# 5
Entry from the Alexandria database: a geometry-optimized Pr6MgIn structure (GGA-PBE).

```
Pr6MgIn
1.0
5.0525 0.0000 0.0000
0.0000 5.0525 0.0000
0.0000 0.0000 10.0802
In Pr Mg
1 6 1
direct
0.0000 0.0000 0.0000
0.5000 0.5000 0.0000
0.5000 0.5000 0.5000
0.5000 0.0000 0.2467
0.5000 0.0000 0.7533
0.0000 0.5000 0.7533
0.0000 0.5000 0.2467
0.0000 0.0000 0.5000
```

Summary:
- formation enthalpy at 0 K (eV/atom) = -0.143
- symmetry = P4/mmm, No. 123
- DOS at the Fermi energy (states/eV/cell) = 12.9

***

# 6
Entry from the Alexandria database: a geometry-optimized Pr4YEr3 structure (GGA-PBE).

```
Pr4YEr3
1.0
-4.7398 -0.4932 -4.1662
-2.9390 -5.4377 3.9874
-6.1536 7.7838 6.0793
Er Pr Y
6 8 2
direct
0.9814 0.6199 0.7503
0.1474 0.3824 0.5000
0.4814 0.3801 0.7497
0.4814 0.3801 0.2503
0.9814 0.6199 0.2497
0.6474 0.6176 0.0000
0.4823 0.8712 0.7536
0.1499 0.8705 0.5000
0.1405 0.8720 0.0000
0.6405 0.1280 0.5000
0.9823 0.1288 0.2536
0.6499 0.1295 0.0000
0.4823 0.8712 0.2464
0.9823 0.1288 0.7464
0.1502 0.3787 0.0000
0.6502 0.6213 0.5000
```

Summary:
- formation enthalpy at 0 K (eV/atom) = 0.030
- symmetry = Pmn2_1, No. 31
- DOS at the Fermi energy (states/eV/cell) = 29.6

***

# 7
Entry from the Alexandria database: a geometry-optimized ScTl structure (GGA-PBE).

```
ScTl
1.0
5.8930 0.0005 0.0000
-4.5290 3.7703 0.0000
0.0000 0.0000 4.4512
Sc Tl
2 2
direct
0.3636 0.6364 0.2500
0.6364 0.3636 0.7500
0.9035 0.0965 0.7500
0.0965 0.9035 0.2500
```

Summary:
- formation enthalpy at 0 K (eV/atom) = -0.190
- symmetry = Cmcm, No. 63
- DOS at the Fermi energy (states/eV/cell) = 4.5

***

# 8
Entry from the Alexandria database: a geometry-optimized PuH2I6 structure (GGA-PBE).

```
PuH2I6
1.0
7.5905 -0.1871 0.3858
0.2591 11.5547 1.5459
-0.3212 0.3101 8.9189
H Pu I
4 2 12
direct
0.9192 0.5556 0.1931
0.5796 0.7422 0.5279
0.4204 0.2578 0.4721
0.0808 0.4444 0.8069
0.2504 0.0867 0.9050
0.7496 0.9133 0.0950
0.8784 0.8531 0.4048
0.1216 0.1469 0.5952
0.1003 0.4836 0.2475
0.6029 0.3209 0.3992
0.3971 0.6791 0.6008
0.8997 0.5164 0.7525
0.9188 0.1551 0.0646
0.3828 0.3209 0.8991
0.0812 0.8449 0.9354
0.6172 0.6791 0.1009
0.4137 0.0078 0.2192
0.5863 0.9922 0.7808
```

Summary:
- E (eV/atom) = -3.823
- symmetry = P-1, No. 2
- DOS at the Fermi energy (states/eV/cell) = 21.1

***

# 9
Entry from the Alexandria database: a geometry-optimized Dy4CdPt structure (GGA-PBE).

```
Dy4CdPt
1.0
9.6768 0.0000 0.0000
4.8384 8.3803 0.0000
4.8384 2.7934 7.9011
Dy Cd Pt
16 4 4
direct
0.9355 0.9355 0.5645
0.8096 0.1904 0.8096
0.1904 0.8096 0.8096
0.3523 0.3523 0.9432
0.5645 0.5645 0.9355
0.9355 0.5645 0.5645
0.5645 0.9355 0.9355
0.9432 0.3523 0.3523
0.3523 0.3523 0.3523
0.1904 0.1904 0.8096
0.3523 0.9432 0.3523
0.9355 0.5645 0.9355
0.8096 0.8096 0.1904
0.8096 0.1904 0.1904
0.5645 0.9355 0.5645
0.1904 0.8096 0.1904
0.5820 0.5820 0.2539
0.5820 0.5820 0.5820
0.5820 0.2539 0.5820
0.2539 0.5820 0.5820
0.5701 0.1433 0.1433
0.1433 0.5701 0.1433
0.1433 0.1433 0.5701
0.1433 0.1433 0.1433
```

Summary:
- formation enthalpy at 0 K (eV/atom) = -0.614
- symmetry = F-43m, No. 216
- DOS at the Fermi energy (states/eV/cell) = 21.0

***

# 10
Entry from the Alexandria database: a geometry-optimized ThNCl structure (GGA-PBE).

```
ThNCl
1.0
4.3785 0.0000 0.0000
2.1892 3.7919 0.0000
2.1892 1.2640 3.5750
Cl Th N
1 1 1
direct
0.0000 0.0000 0.0000
0.2500 0.2500 0.2500
0.5000 0.5000 0.5000
```

Summary:
- symmetry = F-43m, No. 216
- DOS at the Fermi energy (states/eV/cell) = 0.0
- formation energy (no corrections) (eV per atom) = -1.25

***

# 11
Entry from the Alexandria database: a geometry-optimized YHgGe2 structure (GGA-PBE).

```
YHgGe2
1.0
7.6930 0.0000 0.0000
0.0000 7.6930 0.0000
3.8465 3.8465 3.1336
Ge Y Hg
4 2 2
direct
0.8750 0.9030 0.7500
0.3750 0.3470 0.7500
0.6530 0.1250 0.2500
0.0970 0.6250 0.2500
0.2500 0.7500 0.5000
0.5000 0.5000 0.0000
0.0000 0.0000 0.0000
0.7500 0.2500 0.5000
```

Summary:
- formation enthalpy at 0 K (eV/atom) = -0.151
- symmetry = I-42d, No. 122
- DOS at the Fermi energy (states/eV/cell) = 6.4

***

# 12
Entry from the Alexandria database: a geometry-optimized KAs2RuBr structure (GGA-PBE).

```
KAs2RuBr
1.0
-0.3603 -1.2698 5.3582
4.3441 -3.3653 -0.5054
3.3927 4.1959 1.2225
As Ru K Br
2 1 1 1
direct
0.5000 0.0000 0.0000
0.0000 0.5000 0.0000
0.5000 0.5000 0.5000
0.0000 0.0000 0.0000
0.0000 0.0000 0.5000
```

Summary:
- symmetry = P4/mmm, No. 123
- DOS at the Fermi energy (states/eV/cell) = 7.3
- formation energy (no corrections) (eV per atom) = 1.82

***

Question: Which of these has the highest DOS at the Fermi energy?
Answer: Pr4YEr3